Tl2MoCl8 (PBE, relaxed); electronic total energy = -3.5560 eV per atom; Fermi-level density of states = 5.624 states/eV/f.u.; total magnetic moment = 0.2 μB/cell; uncorrected formation energy = -77 kJ/mol of atoms
1.0
-0.112 -2.085 5.694
-6.197 -4.882 -0.847
3.665 -6.898 -1.391
Tl Mo Cl
2 1 8
direct
0.199 0.632 0.632
0.801 0.368 0.368
0.000 0.000 0.000
0.125 0.949 0.273
0.125 0.273 0.949
0.875 0.051 0.727
0.288 0.396 0.396
0.875 0.727 0.051
0.341 0.884 0.884
0.659 0.116 0.116
0.712 0.604 0.604